(1)
Entry from the Alexandria database: a geometry-optimized Ac6Sn5Br structure (PBE).

Unit cell a=8.2920 b=14.5265 c=8.2373 alpha=90.00 beta=110.02 gamma=90.00
Space group C2/m (No. 12)
Unique sites:
Ac  0.2470  0.1671  0.2445 [8 per cell]
Ac  0.2492  0.0000  0.7488 [4 per cell]
Sn  0.0000  0.0000  0.0000 [2 per cell]
Sn  0.0000  0.1675  0.5000 [4 per cell]
Sn  0.0000  0.3373  0.0000 [4 per cell]
Br  0.0000  0.5000  0.5000 [2 per cell]

Calculated values
formation energy (no corrections)	-0.74	eV/atom
DFT total energy	-110.5	eV per cell

(2)
Entry from the Alexandria database: a geometry-optimized AcSnBr structure (PBE).

Unit cell a=4.4899 b=4.4899 c=19.2493 alpha=90.00 beta=90.00 gamma=90.00
Space group I4/mmm (No. 139)
Unique sites:
Ac  0.0000  0.0000  0.1302 [4 per cell]
Sn  0.0000  0.5000  0.0000 [4 per cell]
Br  0.0000  0.0000  0.3072 [4 per cell]

Calculated values
E above lowest polymorph	0.00	eV per formula unit
formation energy (no corrections)	-1.22	eV/atom
DFT total energy	-53.8	eV per cell

(3)
Entry from the Alexandria database: a geometry-optimized Ac3Sn2Br2 structure (PBE).

Unit cell a=11.9513 b=4.9199 c=8.9417 alpha=90.00 beta=108.67 gamma=90.00
Space group C2/m (No. 12)
Unique sites:
Ac  0.0000  0.0000  0.0000 [2 per cell]
Ac  0.1618  0.5000  0.6648 [4 per cell]
Sn  0.0616  0.0000  0.3829 [4 per cell]
Br  0.1736  0.5000  0.0604 [4 per cell]

Calculated values
formation energy (no corrections)	-1.06	eV/atom
DFT total energy	-62.2	eV per cell

Repeat the first record exactly.
Entry from the Alexandria database: a geometry-optimized Ac6Sn5Br structure (PBE).

Unit cell a=8.2920 b=14.5265 c=8.2373 alpha=90.00 beta=110.02 gamma=90.00
Space group C2/m (No. 12)
Unique sites:
Ac  0.2470  0.1671  0.2445 [8 per cell]
Ac  0.2492  0.0000  0.7488 [4 per cell]
Sn  0.0000  0.0000  0.0000 [2 per cell]
Sn  0.0000  0.1675  0.5000 [4 per cell]
Sn  0.0000  0.3373  0.0000 [4 per cell]
Br  0.0000  0.5000  0.5000 [2 per cell]

Calculated values
formation energy (no corrections)	-0.74	eV/atom
DFT total energy	-110.5	eV per cell